Computed, not measured: a relaxed structure of ThSn2Br8 at the PBE-GGA level of DFT.

The uncorrected formation energy comes out at -1.1225 eV per atom.

Cell: 9.1539 9.1539 6.8434 Å, 90.00 90.00 120.00°
Closest atoms and distances in Å follow each position.
Space group P-3 (No. 147)
Asymmetric unit:
Th: 0.0000 0.0000 0.0000 (multiplicity 1)  6 Br 2.85
Sn: 0.3333 0.6667 0.7606 (multiplicity 2)  1 Br 2.57
Br: 0.1432 0.2894 0.7527 (multiplicity 6)  1 Th 2.85, 1 Sn 2.99
Br: 0.3333 0.6667 0.3849 (multiplicity 2)  1 Sn 2.57

=====

Computed, not measured: a relaxed structure of ZrOsS2 at the PBE-GGA level of DFT.

The uncorrected formation energy comes out at -0.4674 eV per atom. As for the polymorph energy (0 for the lowest one): 0 meV/atom.

Cell: 4.5307 4.5307 14.4465 Å, 90.00 90.00 90.00°
Closest atoms and distances in Å follow each position.
Space group I-42d (No. 122)
Asymmetric unit:
Zr: 0.0000 0.0000 0.0000 (multiplicity 4)  4 S 2.50
Os: 0.0000 0.0000 0.5000 (multiplicity 4)  4 S 2.34
S: 0.2129 0.2500 0.6250 (multiplicity 8)  2 Os 2.34, 2 Zr 2.50

=====

Computed, not measured: a relaxed structure of Th8IrSe4S3 at the PBE-GGA level of DFT.

The uncorrected formation energy comes out at -1.5989 eV per atom.

Cell: 8.2423 8.2423 20.7464 Å, 90.00 90.00 120.00°
Closest atoms and distances in Å follow each position.
Space group R-3m (No. 166, hexagonal axes)
Asymmetric unit:
Th: 0.0000 0.0000 0.2441 (multiplicity 6)  3 S 2.87, 3 Se 3.02
Th: 0.0018 0.5009 0.2441 (multiplicity 18)  1 Ir 2.86, 2 S 2.88, 3 Se 3.01-3.02
Ir: 0.0000 0.0000 0.5000 (multiplicity 3)  6 Th 2.86
Se: 0.0000 0.0000 0.0000 (multiplicity 3)  6 Th 3.02
Se: 0.0000 0.5000 0.0000 (multiplicity 9)  6 Th 3.01-3.02
S: 0.0000 0.5000 0.5000 (multiplicity 9)  6 Th 2.87-2.88

=====

Computed, not measured: a relaxed structure of KSn3Pt at the PBE-GGA level of DFT.

The value obtained for the formation energy is -0.391 eV per atom. As for the polymorph energy (0 for the lowest one): 0 meV/atom.

Cell: 6.9801 6.9716 6.6392 Å, 90.00 121.39 90.00°
Closest atoms and distances in Å follow each position.
Space group Cm (No. 8)
Asymmetric unit:
K: 0.0000 0.0000 0.0000 (multiplicity 2)  12 Sn 3.63-3.81, 5 Pt 3.85-4.04
Sn: 0.0048 0.2490 0.5095 (multiplicity 4)  2 Pt 2.72
Sn: 0.0880 0.5000 0.1781 (multiplicity 2)  1 Pt 2.64
Pt: 0.3566 0.0000 0.7123 (multiplicity 2)  5 Sn 2.64-2.72

=====

| no. | total moment (μB/cell) |
| --- | --- |
| 1 | 0.000 |
| 2 | 0.000 |
| 3 | 0.000 |
| 4 | 0.000 |